PuV2Si: optimized geometry, PBE.

Unit cell a=3.4791 b=4.1772 c=4.1772 alpha=90.00 beta=90.00 gamma=90.00
Closest atoms and distances in Å follow each position.
Positions (direct):
V1 0.0000 0.5000 0.0000  4 Pu 2.72, 4 Si 2.72, 4 V 2.95
V2 0.0000 0.0000 0.5000  4 Pu 2.72, 4 Si 2.72, 4 V 2.95
Pu1 0.5000 0.5000 0.5000  8 V 2.72, 4 Si 2.95
Si1 0.5000 0.0000 0.0000  8 V 2.72, 4 Pu 2.95

Output
spin magnetization	4.2	μB/cell
energy above the lowest structure with this stoichiometry	0.095	eV/f.u.